[1]
Compound: La2Nd3YSe6
Source: the Alexandria database
Functional: GGA-PBE
Structure: relaxed Values from VASP.

Cell and atoms, written as Quantum ESPRESSO input:
```
&SYSTEM
  ibrav = 0, nat = 12, ntyp = 4
/
ATOMIC_SPECIES
La 138.91 La.upf
Nd 144.24 Nd.upf
Y 88.91 Y.upf
Se 78.96 Se.upf
ATOMIC_POSITIONS crystal
La 0.834 0.666 0.668
La 0.166 0.334 0.332
Nd 0.500 0.500 0.000
Nd 0.831 0.166 0.661
Nd 0.169 0.834 0.339
Y 0.500 0.000 0.000
Se 0.338 0.922 0.676
Se 0.666 0.586 0.331
Se 0.662 0.078 0.324
Se 0.998 0.240 0.995
Se 0.002 0.760 0.005
Se 0.334 0.414 0.669
CELL_PARAMETERS angstrom
4.220 0.000 0.000
0.000 8.509 0.319
-2.110 -2.436 8.887
```

The calculation puts the calculated density at 6558 kg/m³. The formation energy (no corrections) comes out at -1.879 eV/atom. Its volume is 322 Å³/f.u. Its space-group type is C2/m, No. 12.

[2]
Compound: Ho4AlAg2
Source: the Alexandria database
Functional: GGA-PBE
Structure: relaxed Values from VASP.

Cell and atoms, written as Quantum ESPRESSO input:
```
&SYSTEM
  ibrav = 0, nat = 7, ntyp = 3
/
ATOMIC_SPECIES
Ho 164.93 Ho.upf
Al 26.98 Al.upf
Ag 107.87 Ag.upf
ATOMIC_POSITIONS crystal
Ho 0.709 0.709 0.873
Ho 0.875 0.875 0.376
Ho 0.291 0.291 0.127
Ho 0.125 0.125 0.624
Al 0.500 0.500 0.500
Ag 0.597 0.597 0.209
Ag 0.403 0.403 0.791
CELL_PARAMETERS angstrom
4.999 0.000 0.000
2.499 4.329 0.000
2.499 1.443 8.871
```

For the excess energy over the best structure of this formula in the dataset, the calculation gives 0.78 eV/f.u. The calculation puts the formation energy at -7 kJ per mole of atoms. The calculation puts the calculated density at 7806 kg/m³. Its volume is 192 Å³/f.u. Its space-group type is R-3m, No. 166.

[3]
Compound: LaSb2Ir2
Source: the Alexandria database
Functional: GGA-PBE
Structure: relaxed Values from VASP.

Cell and atoms, written as Quantum ESPRESSO input:
```
&SYSTEM
  ibrav = 0, nat = 5, ntyp = 3
/
ATOMIC_SPECIES
Sb 121.76 Sb.upf
Ir 192.22 Ir.upf
La 138.91 La.upf
ATOMIC_POSITIONS crystal
Sb 0.750 0.250 0.500
Sb 0.250 0.750 0.500
Ir 0.369 0.369 0.262
Ir 0.631 0.631 0.738
La 0.000 0.000 0.000
CELL_PARAMETERS angstrom
-0.963 4.434 1.354
0.816 -1.199 4.508
4.774 2.839 2.378
```

The calculation puts the calculated density at 11291 kg/m³. The formation energy (no corrections) comes out at -0.573 eV/atom. Its volume is 113 Å³/f.u. Its space-group type is I4/mmm, No. 139.

[4]
Compound: NdCd4Pt4
Source: the Alexandria database
Functional: GGA-PBE
Structure: relaxed Values from VASP.

Cell and atoms, written as Quantum ESPRESSO input:
```
&SYSTEM
  ibrav = 0, nat = 18, ntyp = 3
/
ATOMIC_SPECIES
Nd 144.24 Nd.upf
Cd 112.41 Cd.upf
Pt 195.08 Pt.upf
ATOMIC_POSITIONS crystal
Nd 0.000 0.000 0.000
Nd 0.500 0.500 0.500
Cd 0.394 0.341 0.896
Cd 0.894 0.604 0.841
Cd 0.394 0.659 0.104
Cd 0.106 0.159 0.604
Cd 0.606 0.896 0.659
Cd 0.106 0.841 0.396
Cd 0.894 0.396 0.159
Cd 0.606 0.104 0.341
Pt 0.600 0.789 0.361
Pt 0.600 0.211 0.639
Pt 0.100 0.861 0.711
Pt 0.900 0.289 0.861
Pt 0.900 0.711 0.139
Pt 0.400 0.361 0.211
Pt 0.400 0.639 0.789
Pt 0.100 0.139 0.289
CELL_PARAMETERS angstrom
-2.771 0.525 -4.664
4.189 -7.056 -3.282
-6.354 -5.253 3.184
```

The calculation puts the formation energy at -28 kJ per mole of atoms. The calculation puts the calculated density at 10721 kg/m³. Its volume is 213 Å³/f.u. Its space-group type is P4_2/n, No. 86.

[5]
Compound: BaCu2Sb2
Source: the Alexandria database
Functional: GGA-PBE
Structure: relaxed Values from VASP.

Cell and atoms, written as Quantum ESPRESSO input:
```
&SYSTEM
  ibrav = 0, nat = 10, ntyp = 3
/
ATOMIC_SPECIES
Sb 121.76 Sb.upf
Ba 137.33 Ba.upf
Cu 63.55 Cu.upf
ATOMIC_POSITIONS crystal
Sb 0.362 0.862 0.000
Sb 0.862 0.638 0.000
Sb 0.638 0.138 0.000
Sb 0.138 0.362 0.000
Ba 0.000 0.000 0.000
Ba 0.500 0.500 0.000
Cu 0.131 0.631 0.500
Cu 0.631 0.869 0.500
Cu 0.869 0.369 0.500
Cu 0.369 0.131 0.500
CELL_PARAMETERS angstrom
8.555 0.000 0.000
0.000 8.555 0.000
0.000 0.000 3.302
```

The calculation puts the calculated density at 6981 kg/m³. The formation energy (no corrections) comes out at 0.015 eV/atom. Its volume is 121 Å³/f.u. Its space-group type is P4/mbm, No. 127.

[6]
Compound: ZrNiMo4
Source: the Alexandria database
Functional: GGA-PBE
Structure: relaxed Values from VASP.

Cell and atoms, written as Quantum ESPRESSO input:
```
&SYSTEM
  ibrav = 0, nat = 6, ntyp = 3
/
ATOMIC_SPECIES
Zr 91.22 Zr.upf
Ni 58.69 Ni.upf
Mo 95.94 Mo.upf
ATOMIC_POSITIONS crystal
Zr 0.000 0.000 0.000
Ni 0.750 0.750 0.750
Mo 0.876 0.375 0.375
Mo 0.375 0.375 0.876
Mo 0.375 0.876 0.375
Mo 0.375 0.375 0.375
CELL_PARAMETERS angstrom
0.000 3.721 3.721
3.721 0.000 3.721
3.721 3.721 0.000
```

The calculation puts the formation energy at 28 kJ per mole of atoms. The calculation puts the calculated density at 8599 kg/m³. Its volume is 103 Å³/f.u. Its space-group type is F-43m, No. 216.